(1)
Density functional theory data (GGA-PBEsol) for an optimized crystal structure of Tb2IrRh.

extended XYZ file:
```
4
Lattice="-2.699 3.711 1.372 -4.688 -0.604 0.773 -1.734 0.180 4.461" Properties=species:S:1:pos:R:3 pbc="T T T"
Tb -2.280 0.822 1.652
Tb -6.841 2.465 4.955
Rh 0.000 0.000 0.000
Ir -4.561 1.643 3.303
```

Summary:
formation energy	-0.796	eV per atom
E	-7.7915	eV/atom
V	19.423	Å³/atom
space-group type	Fm-3m, No. 225



(2)
Density functional theory data (GGA-PBEsol) for an optimized crystal structure of CdPbBr2.

extended XYZ file:
```
4
Lattice="3.663 0.000 0.000 0.000 3.663 0.000 0.000 0.000 8.268" Properties=species:S:1:pos:R:3 pbc="T T T"
Br 1.832 1.832 2.559
Br 0.000 0.000 7.957
Pb 1.832 1.832 6.175
Cd 0.000 0.000 3.978
```

Summary:
E	-2.6311	eV/atom
V	27.735	Å³/atom
energy relative to the elements, uncorrected	-1.59	eV per formula unit
space-group type	P4mm, No. 99



(3)
Density functional theory data (GGA-PBEsol) for an optimized crystal structure of SiP2SeO.

extended XYZ file:
```
5
Lattice="-1.438 -2.753 1.911 3.613 0.244 3.069 -2.445 3.103 2.631" Properties=species:S:1:pos:R:3 pbc="T T T"
Se 0.000 0.000 0.000
Si -0.135 0.297 3.806
O -0.719 -1.377 0.955
P 1.806 0.122 1.535
P -1.222 1.552 1.316
```

Summary:
E	-4.6581	eV/atom
V	16.433	Å³/atom
energy relative to the elements, uncorrected	3.14	eV per formula unit
space-group type	P4/mmm, No. 123